1.
This record from the Alexandria database describes Dy5ZrBi6 after structural relaxation. The functional is GGA-PBE.

Lattice parameters (Å, degrees): 7.6796 13.2992 7.6741 90.00 109.54 90.00
Space group C2/m (No. 12)
Asymmetric unit:
Dy 0.0000 0.0000 0.0000 (multiplicity 2)
Dy 0.0000 0.1650 0.5000 (multiplicity 4)
Dy 0.0000 0.3292 0.0000 (multiplicity 4)
Zr 0.0000 0.5000 0.5000 (multiplicity 2)
Bi 0.2415 0.5000 0.2514 (multiplicity 4)
Bi 0.2436 0.3370 0.7438 (multiplicity 8)

## Properties
Energy relative to the elements: -0.744 eV/atom
Magnetic moment: 0.0 μB/cell

---

2.
This record from the Alexandria database describes DyZrBi2 after structural relaxation. The functional is GGA-PBE.

Lattice parameters (Å, degrees): 3.6907 3.6907 7.8657 90.00 90.00 90.00
Space group P4/mmm (No. 123)
Asymmetric unit:
Dy 0.0000 0.0000 0.0000 (multiplicity 1)
Zr 0.0000 0.0000 0.5000 (multiplicity 1)
Bi 0.5000 0.5000 0.2687 (multiplicity 2)

## Properties
Energy relative to the lowest polymorph listed for this composition: 0.130 eV/atom
Energy relative to the elements: -0.384 eV/atom
Magnetic moment: 0.4 μB/cell

---

3.
This record from the Alexandria database describes DyZr3Bi2 after structural relaxation. The functional is GGA-PBE.

Lattice parameters (Å, degrees): 18.0989 4.0630 9.2806 90.00 113.94 90.00
Space group C2/m (No. 12)
Asymmetric unit:
Dy 0.1140 0.0000 0.1251 (multiplicity 4)
Zr 0.0597 0.0000 0.6584 (multiplicity 4)
Zr 0.1304 0.5000 0.4766 (multiplicity 4)
Zr 0.1885 0.5000 0.8979 (multiplicity 4)
Bi 0.0131 0.5000 0.8373 (multiplicity 4)
Bi 0.2459 0.0000 0.7106 (multiplicity 4)

## Properties
Energy relative to the elements: -0.302 eV/atom
Magnetic moment: 0.0 μB/cell

---

4.
This record from the Alexandria database describes DyZrBi after structural relaxation. The functional is GGA-PBE.

Lattice parameters (Å, degrees): 4.3855 4.3855 8.3694 90.00 90.00 90.00
Space group P4/nmm (No. 129, origin choice 2)
Asymmetric unit:
Dy 0.2500 0.2500 0.1519 (multiplicity 2)
Zr 0.2500 0.7500 0.5000 (multiplicity 2)
Bi 0.2500 0.2500 0.7680 (multiplicity 2)

## Properties
Energy relative to the elements: -0.551 eV/atom
Magnetic moment: 0.0 μB/cell

---

5.
This record from the Alexandria database describes DyZrBi2 after structural relaxation. The functional is GGA-PBE.

Lattice parameters (Å, degrees): 4.3288 4.3288 21.5642 90.00 90.00 120.00
Space group R-3m (No. 166, hexagonal axes)
Asymmetric unit:
Dy 0.0000 0.0000 0.0000 (multiplicity 3)
Zr 0.0000 0.0000 0.5000 (multiplicity 3)
Bi 0.0000 0.0000 0.2460 (multiplicity 6)

## Properties
Energy relative to the lowest polymorph listed for this composition: 0.000 eV/atom
Energy relative to the elements: -0.514 eV/atom
Magnetic moment: 0.0 μB/cell

---

6.
This record from the Alexandria database describes DyZrBi after structural relaxation. The functional is GGA-PBE.

Lattice parameters (Å, degrees): 3.8739 3.8739 10.6047 90.00 90.00 90.00
Space group I4mm (No. 107)
Asymmetric unit:
Dy 0.0000 0.0000 0.0000 (multiplicity 2)
Zr 0.0000 0.0000 0.6783 (multiplicity 2)
Bi 0.0000 0.0000 0.3214 (multiplicity 2)

## Properties
Energy relative to the elements: -0.356 eV/atom
Magnetic moment: 0.0 μB/cell

---

7.
This record from the Alexandria database describes DyZrBi after structural relaxation. The functional is GGA-PBE.

Lattice parameters (Å, degrees): 4.1899 4.1899 9.7041 90.00 90.00 90.00
Space group P4/nmm (No. 129, origin choice 2)
Asymmetric unit:
Dy 0.2500 0.2500 0.2319 (multiplicity 2)
Zr 0.2500 0.2500 0.5682 (multiplicity 2)
Bi 0.2500 0.2500 0.8860 (multiplicity 2)

## Properties
Energy relative to the elements: -0.201 eV/atom
Magnetic moment: 2.1 μB/cell

---

8.
This record from the Alexandria database describes DyZrBi2 after structural relaxation. The functional is GGA-PBE.

Lattice parameters (Å, degrees): 4.2545 4.2545 22.6038 90.00 90.00 120.00
Space group R3m (No. 160, hexagonal axes)
Asymmetric unit:
Dy 0.0000 0.0000 0.0000 (multiplicity 3)
Zr 0.0000 0.0000 0.8292 (multiplicity 3)
Bi 0.0000 0.0000 0.4169 (multiplicity 3)
Bi 0.0000 0.0000 0.5775 (multiplicity 3)

## Properties
Energy relative to the lowest polymorph listed for this composition: 0.026 eV/atom
Energy relative to the elements: -0.488 eV/atom
Magnetic moment: 1.4 μB/cell

---

9.
This record from the Alexandria database describes ErBi2 after structural relaxation. The functional is GGA-PBE.

Lattice parameters (Å, degrees): 5.2342 5.2342 25.4951 90.00 90.00 120.00
Space group R-3m (No. 166, hexagonal axes)
Asymmetric unit:
Er 0.0000 0.0000 0.0722 (multiplicity 6)
Bi 0.0000 0.0000 0.1970 (multiplicity 6)
Bi 0.0000 0.0000 0.3771 (multiplicity 6)

## Properties
Energy relative to the elements: -0.226 eV/atom
Magnetic moment: 0.0 μB/cell

---

10.
This record from the Alexandria database describes Er4Bi3 after structural relaxation. The functional is GGA-PBE.

Lattice parameters (Å, degrees): 9.3130 9.3130 9.3130 90.00 90.00 90.00
Space group I-43d (No. 220)
Asymmetric unit:
Er 0.0742 0.4258 0.5742 (multiplicity 16)
Bi 0.0000 0.2500 0.8750 (multiplicity 12)

## Properties
Energy relative to the lowest polymorph listed for this composition: 0.000 eV/atom
Energy relative to the elements: -0.671 eV/atom
Magnetic moment: 0.1 μB/cell

---

11.
This record from the Alexandria database describes Er3Bi2 after structural relaxation. The functional is GGA-PBE.

Lattice parameters (Å, degrees): 9.7258 7.9369 7.9013 90.00 90.00 90.00
Space group Pbcn (No. 60)
Asymmetric unit:
Er 0.0000 0.1371 0.2500 (multiplicity 4)
Er 0.1464 0.4845 0.6231 (multiplicity 8)
Bi 0.1501 0.1979 0.8885 (multiplicity 8)

## Properties
Energy relative to the elements: -0.537 eV/atom
Magnetic moment: 0.0 μB/cell

---

12.
This record from the Alexandria database describes Er4Bi3 after structural relaxation. The functional is GGA-PBE.

Lattice parameters (Å, degrees): 4.2556 4.2556 23.0258 90.00 90.00 90.00
Space group I4/mmm (No. 139)
Asymmetric unit:
Er 0.0000 0.0000 0.0709 (multiplicity 4)
Er 0.0000 0.0000 0.3402 (multiplicity 4)
Bi 0.0000 0.0000 0.2016 (multiplicity 4)
Bi 0.0000 0.0000 0.5000 (multiplicity 2)

## Properties
Energy relative to the lowest polymorph listed for this composition: 0.202 eV/atom
Energy relative to the elements: -0.469 eV/atom
Magnetic moment: 0.0 μB/cell

---

13.
This record from the Alexandria database describes Er2Bi after structural relaxation. The functional is GGA-PBE.

Lattice parameters (Å, degrees): 4.5235 4.5235 8.5085 90.00 90.00 90.00
Space group P4/nmm (No. 129, origin choice 2)
Asymmetric unit:
Er 0.2500 0.2500 0.1573 (multiplicity 2)
Er 0.2500 0.7500 0.5000 (multiplicity 2)
Bi 0.2500 0.2500 0.7862 (multiplicity 2)

## Properties
Energy relative to the elements: -0.556 eV/atom
Magnetic moment: 0.0 μB/cell

---

14.
This record from the Alexandria database describes ErBi5 after structural relaxation. The functional is GGA-PBE.

Lattice parameters (Å, degrees): 4.6870 16.4311 4.8268 90.00 90.00 90.00
Space group Cmmm (No. 65)
Asymmetric unit:
Er 0.0000 0.0000 0.0000 (multiplicity 2)
Bi 0.0000 0.1655 0.5000 (multiplicity 4)
Bi 0.0000 0.3498 0.0000 (multiplicity 4)
Bi 0.0000 0.5000 0.5000 (multiplicity 2)

## Properties
Energy relative to the elements: -0.183 eV/atom
Magnetic moment: 0.0 μB/cell

---

15.
This record from the Alexandria database describes Er3Bi4 after structural relaxation. The functional is GGA-PBE.

Lattice parameters (Å, degrees): 4.4913 4.4913 38.4177 90.00 90.00 120.00
Space group R-3m (No. 166, hexagonal axes)
Asymmetric unit:
Er 0.0000 0.0000 0.0000 (multiplicity 3)
Er 0.0000 0.0000 0.2413 (multiplicity 6)
Bi 0.0000 0.0000 0.1408 (multiplicity 6)
Bi 0.0000 0.0000 0.3800 (multiplicity 6)

## Properties
Energy relative to the elements: -0.478 eV/atom
Magnetic moment: 0.0 μB/cell

---

16.
This record from the Alexandria database describes Er2Bi after structural relaxation. The functional is GGA-PBE.

Lattice parameters (Å, degrees): 12.0344 4.4811 7.0473 90.00 112.87 90.00
Space group C2/m (No. 12)
Asymmetric unit:
Er 0.0142 0.0000 0.2671 (multiplicity 4)
Er 0.1744 0.5000 0.1044 (multiplicity 4)
Bi 0.1602 0.5000 0.6120 (multiplicity 4)

## Properties
Energy relative to the elements: -0.460 eV/atom
Magnetic moment: 0.0 μB/cell

---

17.
This record from the Alexandria database describes Er5Bi3 after structural relaxation. The functional is GGA-PBE.

Lattice parameters (Å, degrees): 11.9104 9.4407 8.2325 90.00 90.00 90.00
Space group Pnma (No. 62)
Asymmetric unit:
Er 0.0051 0.2500 0.0199 (multiplicity 4)
Er 0.0637 0.0636 0.6886 (multiplicity 8)
Er 0.2102 0.7500 0.3377 (multiplicity 4)
Er 0.2272 0.2500 0.3273 (multiplicity 4)
Bi 0.0296 0.7500 0.6026 (multiplicity 4)
Bi 0.1756 0.5076 0.0619 (multiplicity 8)

## Properties
Energy relative to the lowest polymorph listed for this composition: 0.000 eV/atom
Energy relative to the elements: -0.643 eV/atom
Magnetic moment: 0.0 μB/cell

---

18.
This record from the Alexandria database describes Er2Bi3 after structural relaxation. The functional is GGA-PBE.

Lattice parameters (Å, degrees): 3.9982 3.9982 34.9791 90.00 90.00 120.00
Space group R-3m (No. 166, hexagonal axes)
Asymmetric unit:
Er 0.0000 0.0000 0.1084 (multiplicity 6)
Bi 0.0000 0.0000 0.2907 (multiplicity 6)
Bi 0.0000 0.0000 0.5000 (multiplicity 3)

## Properties
Energy relative to the elements: -0.347 eV/atom
Magnetic moment: 0.0 μB/cell

---

19.
This record from the Alexandria database describes Er5Bi3 after structural relaxation. The functional is GGA-PBE.

Lattice parameters (Å, degrees): 9.0988 9.0988 6.3218 90.00 90.00 120.00
Space group P6_3/mcm (No. 193)
Asymmetric unit:
Er 0.0000 0.2423 0.2500 (multiplicity 6)
Er 0.3333 0.6667 0.0000 (multiplicity 4)
Bi 0.0000 0.3897 0.7500 (multiplicity 6)

## Properties
Energy relative to the lowest polymorph listed for this composition: 0.005 eV/atom
Energy relative to the elements: -0.638 eV/atom
Magnetic moment: 0.0 μB/cell

---

20.
This record from the Alexandria database describes EuEr2Bi after structural relaxation. The functional is GGA-PBE.

Lattice parameters (Å, degrees): 4.9296 4.9296 4.9002 90.00 90.00 90.00
Space group P4/mmm (No. 123)
Asymmetric unit:
Eu 0.0000 0.0000 0.0000 (multiplicity 1)
Er 0.0000 0.5000 0.5000 (multiplicity 2)
Bi 0.5000 0.5000 0.0000 (multiplicity 1)

## Properties
Energy relative to the lowest polymorph listed for this composition: 0.000 eV/atom
Energy relative to the elements: -0.305 eV/atom
Magnetic moment: 7.5 μB/cell

---

21.
This record from the Alexandria database describes EuEr2Bi after structural relaxation. The functional is GGA-PBE.

Lattice parameters (Å, degrees): 3.5717 3.5717 36.6711 90.00 90.00 120.00
Space group R-3m (No. 166, hexagonal axes)
Asymmetric unit:
Eu 0.0000 0.0000 0.0000 (multiplicity 3)
Er 0.0000 0.0000 0.4148 (multiplicity 6)
Bi 0.0000 0.0000 0.5000 (multiplicity 3)

## Properties
Energy relative to the lowest polymorph listed for this composition: 0.395 eV/atom
Energy relative to the elements: 0.090 eV/atom
Magnetic moment: 22.5 μB/cell

---

22.
This record from the Alexandria database describes Eu2ErBi after structural relaxation. The functional is GGA-PBE.

Lattice parameters (Å, degrees): 4.9707 4.9707 5.1510 90.00 90.00 90.00
Space group P4/mmm (No. 123)
Asymmetric unit:
Eu 0.0000 0.5000 0.0000 (multiplicity 2)
Er 0.0000 0.0000 0.5000 (multiplicity 1)
Bi 0.5000 0.5000 0.5000 (multiplicity 1)

## Properties
Energy relative to the elements: -0.370 eV/atom
Magnetic moment: 15.4 μB/cell

---

23.
This record from the Alexandria database describes EuErHgBi after structural relaxation. The functional is GGA-PBE.

Lattice parameters (Å, degrees): 7.7342 7.7342 7.7342 90.00 90.00 90.00
Space group F-43m (No. 216)
Asymmetric unit:
Eu 0.0000 0.0000 0.0000 (multiplicity 4)
Er 0.0000 0.0000 0.5000 (multiplicity 4)
Hg 0.2500 0.2500 0.2500 (multiplicity 4)
Bi 0.2500 0.2500 0.7500 (multiplicity 4)

## Properties
Energy relative to the elements: -0.531 eV/atom
Magnetic moment: 31.6 μB/cell

---

24.
This record from the Alexandria database describes EuErTlBi after structural relaxation. The functional is GGA-PBE.

Lattice parameters (Å, degrees): 7.8242 7.8242 7.8242 90.00 90.00 90.00
Space group F-43m (No. 216)
Asymmetric unit:
Eu 0.0000 0.0000 0.0000 (multiplicity 4)
Er 0.0000 0.0000 0.5000 (multiplicity 4)
Tl 0.2500 0.2500 0.2500 (multiplicity 4)
Bi 0.2500 0.2500 0.7500 (multiplicity 4)

## Properties
Energy relative to the elements: -0.446 eV/atom
Magnetic moment: 29.6 μB/cell